The following is a DFT calculation (PBE) of crystalline Sn2As2Pd at its relaxed geometry. Values from VASP.

Geometry as Quantum ESPRESSO input:
```
&SYSTEM
  ibrav = 0, nat = 10, ntyp = 3
/
ATOMIC_SPECIES
Sn 118.71 Sn.upf
As 74.92 As.upf
Pd 106.42 Pd.upf
CELL_PARAMETERS angstrom
6.3466 0.0000 0.0000
0.0000 6.3466 0.0000
0.0000 0.0000 5.8216
ATOMIC_POSITIONS crystal
Sn 0.1900 0.3100 0.0000
Sn 0.3100 0.8100 0.0000
Sn 0.6900 0.1900 0.0000
Sn 0.8100 0.6900 0.0000
As 0.1371 0.3629 0.5000
As 0.3629 0.8629 0.5000
As 0.6371 0.1371 0.5000
As 0.8629 0.6371 0.5000
Pd 0.0000 0.0000 0.5000
Pd 0.5000 0.5000 0.5000
```

Computed properties:
- volume (Å³/cell) = 234.5
- formation energy from the elements (eV/atom) = -0.104
- space group = P4/mbm
- spin magnetization (Bohr magnetons per cell) = 0.00

=====

The following is a DFT calculation (PBE) of crystalline SnAs2Pd2 at its relaxed geometry. Values from VASP.

Geometry as Quantum ESPRESSO input:
```
&SYSTEM
  ibrav = 0, nat = 10, ntyp = 3
/
ATOMIC_SPECIES
Sn 118.71 Sn.upf
As 74.92 As.upf
Pd 106.42 Pd.upf
CELL_PARAMETERS angstrom
7.8085 0.0000 0.0000
0.0000 7.8085 0.0000
0.0000 0.0000 3.0588
ATOMIC_POSITIONS crystal
Sn 0.0000 0.0000 0.0000
Sn 0.5000 0.5000 0.0000
As 0.1473 0.3527 0.5000
As 0.3527 0.8527 0.5000
As 0.6473 0.1473 0.5000
As 0.8527 0.6473 0.5000
Pd 0.1392 0.6392 0.0000
Pd 0.3608 0.1392 0.0000
Pd 0.6392 0.8608 0.0000
Pd 0.8608 0.3608 0.0000
```

Computed properties:
- volume (Å³/cell) = 186.5
- relative energy among the computed polymorphs (meV per atom) = 34.5
- formation energy from the elements (eV/atom) = -0.155
- space group = P4/mbm
- spin magnetization (Bohr magnetons per cell) = 0.00

=====

The following is a DFT calculation (PBE) of crystalline Sr2SnAs4Pd3 at its relaxed geometry. Values from VASP.

Geometry as Quantum ESPRESSO input:
```
&SYSTEM
  ibrav = 0, nat = 10, ntyp = 4
/
ATOMIC_SPECIES
Sr 87.62 Sr.upf
Sn 118.71 Sn.upf
As 74.92 As.upf
Pd 106.42 Pd.upf
CELL_PARAMETERS angstrom
4.5596 0.0000 0.0000
0.0000 4.5596 0.0000
0.0000 0.0000 10.5808
ATOMIC_POSITIONS crystal
Sr 0.0000 0.5000 0.2315
Sr 0.5000 0.0000 0.7685
Sn 0.0000 0.0000 0.5000
As 0.0000 0.0000 0.0000
As 0.0000 0.5000 0.6511
As 0.5000 0.0000 0.3489
As 0.5000 0.5000 0.0000
Pd 0.0000 0.5000 0.8880
Pd 0.5000 0.0000 0.1120
Pd 0.5000 0.5000 0.5000
```

Computed properties:
- volume (Å³/cell) = 220.0
- formation energy from the elements (eV/atom) = -0.654
- space group = P-4m2
- spin magnetization (Bohr magnetons per cell) = 0.00

=====

The following is a DFT calculation (PBE) of crystalline Sr3SnAs2Pd9 at its relaxed geometry. Values from VASP.

Geometry as Quantum ESPRESSO input:
```
&SYSTEM
  ibrav = 0, nat = 15, ntyp = 4
/
ATOMIC_SPECIES
Sr 87.62 Sr.upf
Sn 118.71 Sn.upf
As 74.92 As.upf
Pd 106.42 Pd.upf
CELL_PARAMETERS angstrom
6.5550 0.0000 0.0000
-3.2775 5.6768 0.0000
0.0000 0.0000 9.3327
ATOMIC_POSITIONS crystal
Sr 0.0000 0.0000 0.0000
Sr 0.3333 0.6667 0.6886
Sr 0.6667 0.3333 0.3114
Sn 0.0000 0.0000 0.5000
As 0.3333 0.6667 0.1711
As 0.6667 0.3333 0.8289
Pd 0.0000 0.5000 0.0000
Pd 0.1431 0.2862 0.2784
Pd 0.1431 0.8569 0.2784
Pd 0.2862 0.1431 0.7216
Pd 0.5000 0.0000 0.0000
Pd 0.5000 0.5000 0.0000
Pd 0.7138 0.8569 0.2784
Pd 0.8569 0.1431 0.7216
Pd 0.8569 0.7138 0.7216
```

Computed properties:
- volume (Å³/cell) = 347.3
- formation energy from the elements (eV/atom) = -0.558
- space group = P-3m1
- spin magnetization (Bohr magnetons per cell) = 0.00

=====

The following is a DFT calculation (PBE) of crystalline Sr2SnAsPd6 at its relaxed geometry. Values from VASP.

Geometry as Quantum ESPRESSO input:
```
&SYSTEM
  ibrav = 0, nat = 10, ntyp = 4
/
ATOMIC_SPECIES
Sr 87.62 Sr.upf
Sn 118.71 Sn.upf
As 74.92 As.upf
Pd 106.42 Pd.upf
CELL_PARAMETERS angstrom
5.7854 -3.3485 0.0000
5.7854 3.3485 0.0000
-3.8169 0.0000 5.9293
ATOMIC_POSITIONS crystal
Sr 0.2245 0.2245 0.1730
Sr 0.7755 0.7755 0.8270
Sn 0.5000 0.5000 0.0000
As 0.0000 0.0000 0.5000
Pd 0.2432 0.6620 0.6510
Pd 0.2444 0.2444 0.6535
Pd 0.3380 0.7568 0.3490
Pd 0.6620 0.2432 0.6510
Pd 0.7556 0.7556 0.3465
Pd 0.7568 0.3380 0.3490
```

Computed properties:
- volume (Å³/cell) = 229.7
- formation energy from the elements (eV/atom) = -0.608
- space group = C2/m
- spin magnetization (Bohr magnetons per cell) = 0.00

=====

The following is a DFT calculation (PBE) of crystalline Sr3Sn2As2Pd4 at its relaxed geometry. Values from VASP.

Geometry as Quantum ESPRESSO input:
```
&SYSTEM
  ibrav = 0, nat = 11, ntyp = 4
/
ATOMIC_SPECIES
Sr 87.62 Sr.upf
Sn 118.71 Sn.upf
As 74.92 As.upf
Pd 106.42 Pd.upf
CELL_PARAMETERS angstrom
4.4692 0.0000 0.0000
-2.2346 3.8705 0.0000
0.0000 0.0000 15.8487
ATOMIC_POSITIONS crystal
Sr 0.0000 0.0000 0.0000
Sr 0.0000 0.0000 0.2615
Sr 0.0000 0.0000 0.7385
Sn 0.3333 0.6667 0.5694
Sn 0.6667 0.3333 0.4306
As 0.3333 0.6667 0.1401
As 0.6667 0.3333 0.8599
Pd 0.3333 0.6667 0.3979
Pd 0.3333 0.6667 0.8677
Pd 0.6667 0.3333 0.1323
Pd 0.6667 0.3333 0.6021
```

Computed properties:
- volume (Å³/cell) = 274.2
- formation energy from the elements (eV/atom) = -0.769
- space group = P-3m1
- spin magnetization (Bohr magnetons per cell) = 0.00

=====

The following is a DFT calculation (PBE) of crystalline SrSnAs2Pd4 at its relaxed geometry. Values from VASP.

Geometry as Quantum ESPRESSO input:
```
&SYSTEM
  ibrav = 0, nat = 8, ntyp = 4
/
ATOMIC_SPECIES
Sr 87.62 Sr.upf
Sn 118.71 Sn.upf
As 74.92 As.upf
Pd 106.42 Pd.upf
CELL_PARAMETERS angstrom
4.4610 0.0000 0.0000
0.0000 4.4610 0.0000
0.0000 0.0000 8.0934
ATOMIC_POSITIONS crystal
Sr 0.0000 0.0000 0.0000
Sn 0.0000 0.0000 0.5000
As 0.5000 0.5000 0.1580
As 0.5000 0.5000 0.8420
Pd 0.0000 0.5000 0.3083
Pd 0.0000 0.5000 0.6917
Pd 0.5000 0.0000 0.3083
Pd 0.5000 0.0000 0.6917
```

Computed properties:
- volume (Å³/cell) = 161.1
- formation energy from the elements (eV/atom) = -0.634
- space group = P4/mmm
- spin magnetization (Bohr magnetons per cell) = 0.00

=====

The following is a DFT calculation (PBE) of crystalline ZnSnAsPd2 at its relaxed geometry. Values from VASP.

Geometry as Quantum ESPRESSO input:
```
&SYSTEM
  ibrav = 0, nat = 5, ntyp = 4
/
ATOMIC_SPECIES
Zn 65.41 Zn.upf
Sn 118.71 Sn.upf
As 74.92 As.upf
Pd 106.42 Pd.upf
CELL_PARAMETERS angstrom
4.7903 0.0000 0.0000
0.0000 4.7903 0.0000
0.0000 0.0000 4.5858
ATOMIC_POSITIONS crystal
Zn 0.0000 0.0000 0.0000
Sn 0.5000 0.5000 0.5000
As 0.0000 0.0000 0.5000
Pd 0.0000 0.5000 0.0000
Pd 0.5000 0.0000 0.0000
```

Computed properties:
- volume (Å³/cell) = 105.2
- formation energy from the elements (eV/atom) = 0.243
- space group = P4/mmm
- spin magnetization (Bohr magnetons per cell) = 0.00

=====

The following is a DFT calculation (PBE) of crystalline ZnSn2As2Pd7 at its relaxed geometry. Values from VASP.

Geometry as Quantum ESPRESSO input:
```
&SYSTEM
  ibrav = 0, nat = 12, ntyp = 4
/
ATOMIC_SPECIES
Zn 65.41 Zn.upf
Sn 118.71 Sn.upf
As 74.92 As.upf
Pd 106.42 Pd.upf
CELL_PARAMETERS angstrom
2.7738 -2.7976 0.0000
2.7738 2.7976 0.0000
-1.5387 0.0000 14.5284
ATOMIC_POSITIONS crystal
Zn 0.0000 0.0000 0.0000
Sn 0.1243 0.1243 0.4101
Sn 0.8757 0.8757 0.5899
As 0.4318 0.4318 0.7605
As 0.5682 0.5682 0.2395
Pd 0.0398 0.5393 0.1372
Pd 0.3901 0.3901 0.5889
Pd 0.4607 0.9602 0.8628
Pd 0.5000 0.5000 0.0000
Pd 0.5393 0.0398 0.1372
Pd 0.6099 0.6099 0.4111
Pd 0.9602 0.4607 0.8628
```

Computed properties:
- volume (Å³/cell) = 225.5
- formation energy from the elements (eV/atom) = -0.329
- space group = C2/m
- spin magnetization (Bohr magnetons per cell) = 0.00

=====

The following is a DFT calculation (PBE) of crystalline Sr3As2Pd at its relaxed geometry. Values from VASP.

Geometry as Quantum ESPRESSO input:
```
&SYSTEM
  ibrav = 0, nat = 24, ntyp = 3
/
ATOMIC_SPECIES
Sr 87.62 Sr.upf
As 74.92 As.upf
Pd 106.42 Pd.upf
CELL_PARAMETERS angstrom
12.3043 0.0000 0.0000
0.0000 4.5405 0.0000
0.0000 0.0000 12.2715
ATOMIC_POSITIONS crystal
Sr 0.0561 0.2500 0.1249
Sr 0.1185 0.7500 0.5525
Sr 0.2143 0.2500 0.8078
Sr 0.2857 0.7500 0.3078
Sr 0.3815 0.2500 0.0525
Sr 0.4439 0.7500 0.6249
Sr 0.5561 0.2500 0.3751
Sr 0.6185 0.7500 0.9475
Sr 0.7143 0.2500 0.6922
Sr 0.7857 0.7500 0.1921
Sr 0.8815 0.2500 0.4475
Sr 0.9439 0.7500 0.8751
As 0.0197 0.7500 0.3112
As 0.1936 0.7500 0.9917
As 0.3064 0.2500 0.4917
As 0.4803 0.2500 0.8112
As 0.5197 0.7500 0.1888
As 0.6936 0.7500 0.5083
As 0.8064 0.2500 0.0083
As 0.9803 0.2500 0.6888
Pd 0.1272 0.2500 0.3673
Pd 0.3728 0.7500 0.8673
Pd 0.6272 0.2500 0.1327
Pd 0.8728 0.7500 0.6327
```

Computed properties:
- volume (Å³/cell) = 685.6
- formation energy from the elements (eV/atom) = -1.033
- space group = Pnma
- spin magnetization (Bohr magnetons per cell) = 0.00

=====

These records have Fermi-level density of states values of 3.7, 6.6, 5.8, 4.5, 3.4, 4.6, 4.1, 2.2, 6.6, 1.9 states/eV/cell, in the order they appear.
These records have density values of 6992, 8572, 6891, 7121, 7282, 6516, 8061, 7446, 8820, 5029 kg/m3, in the order they appear.